A plane-wave DFT calculation with PBE was carried out for an optimized crystal structure of InAgRh.

It has space group I4/mmm (No. 139), with a = 3.324 Å, b = 3.324 Å, c = 20.926 Å, α = 90.00°, β = 90.00° and γ = 90.00°. The inequivalent atoms are In at (0.000, 0.000, 0.121), Ag at (0.000, 0.000, 0.291) and Rh at (0.000, 0.000, 0.440).

The energy relative to the elements comes out at 0.114 eV/atom. The calculation puts the total energy at -4.20 eV/atom. The density of states at the Fermi level is 10.934 states/eV per cell. The value obtained for the energy above the lowest structure with this stoichiometry is 0.579 eV/f.u.



A plane-wave DFT calculation with PBE was carried out for an optimized crystal structure of InAg2Rh.

It has space group I-42d (No. 122), with a = 3.867 Å, b = 3.867 Å, c = 20.317 Å, α = 90.00°, β = 90.00° and γ = 90.00°. The inequivalent atoms are In at (0.000, 0.000, 0.000), Ag at (0.245, 0.250, 0.625) and Rh at (0.000, 0.000, 0.500).

The energy relative to the elements comes out at 0.114 eV/atom. The calculation puts the total energy at -3.83 eV/atom. The density of states at the Fermi level is 6.035 states/eV per cell.



A plane-wave DFT calculation with PBE was carried out for an optimized crystal structure of InAg2Rh.

It has space group Cmmm (No. 65), with a = 3.082 Å, b = 4.904 Å, c = 9.729 Å, α = 90.00°, β = 90.00° and γ = 90.00°. The inequivalent atoms are In at (0.000, 0.000, 0.000), Ag at (0.000, 0.500, 0.263) and Rh at (0.000, 0.000, 0.500).

The energy relative to the elements comes out at 0.270 eV/atom. The calculation puts the total energy at -3.68 eV/atom. The density of states at the Fermi level is 8.053 states/eV per cell.



A plane-wave DFT calculation with PBE was carried out for an optimized crystal structure of InAg2Rh.

It has space group I-4m2 (No. 119), with a = 4.261 Å, b = 4.261 Å, c = 7.676 Å, α = 90.00°, β = 90.00° and γ = 90.00°. The inequivalent atoms are In at (0.000, 0.000, 0.000), Ag at (0.000, 0.000, 0.500), Ag at (0.000, 0.500, 0.750) and Rh at (0.000, 0.500, 0.250).

The energy relative to the elements comes out at -0.067 eV/atom. The calculation puts the total energy at -4.02 eV/atom. The density of states at the Fermi level is 3.236 states/eV per cell.



A plane-wave DFT calculation with PBE was carried out for an optimized crystal structure of In2AgRh2.

It has space group P4/mbm (No. 127), with a = 7.585 Å, b = 7.585 Å, c = 3.149 Å, α = 90.00°, β = 90.00° and γ = 90.00°. The inequivalent atoms are In at (0.162, 0.338, 0.000), Ag at (0.000, 0.000, 0.500) and Rh at (0.136, 0.636, 0.500).

The energy relative to the elements comes out at -0.233 eV/atom. The calculation puts the total energy at -4.84 eV/atom. The density of states at the Fermi level is 3.794 states/eV per cell. The value obtained for the energy above the lowest structure with this stoichiometry is 0.000 eV/f.u.



A plane-wave DFT calculation with PBE was carried out for an optimized crystal structure of InAg2Rh.

It has space group P4/mmm (No. 123), with a = 2.974 Å, b = 2.974 Å, c = 8.175 Å, α = 90.00°, β = 90.00° and γ = 90.00°. The inequivalent atoms are In at (0.000, 0.000, 0.000), Ag at (0.500, 0.500, 0.269) and Rh at (0.000, 0.000, 0.500).

The energy relative to the elements comes out at 0.216 eV/atom. The calculation puts the total energy at -3.73 eV/atom. The density of states at the Fermi level is 3.893 states/eV per cell.



A plane-wave DFT calculation with PBE was carried out for an optimized crystal structure of InAg2Rh.

It has space group Cmmm (No. 65), with a = 5.560 Å, b = 8.372 Å, c = 3.067 Å, α = 90.00°, β = 90.00° and γ = 90.00°. The inequivalent atoms are In at (0.000, 0.000, 0.000), Ag at (0.250, 0.250, 0.500) and Rh at (0.000, 0.500, 0.000).

The energy relative to the elements comes out at 0.080 eV/atom. The calculation puts the total energy at -3.87 eV/atom. The density of states at the Fermi level is 6.435 states/eV per cell.



A plane-wave DFT calculation with PBE was carried out for an optimized crystal structure of InAg2Rh.

It has space group P4/mmm (No. 123), with a = 3.978 Å, b = 3.978 Å, c = 4.403 Å, α = 90.00°, β = 90.00° and γ = 90.00°. The inequivalent atoms are In at (0.000, 0.000, 0.000), Ag at (0.000, 0.500, 0.500) and Rh at (0.500, 0.500, 0.000).

The energy relative to the elements comes out at -0.109 eV/atom. The calculation puts the total energy at -4.06 eV/atom. The density of states at the Fermi level is 0.913 states/eV per cell.



A plane-wave DFT calculation with PBE was carried out for an optimized crystal structure of InAgRh.

It has space group Imm2 (No. 44), with a = 3.102 Å, b = 3.810 Å, c = 8.893 Å, α = 90.00°, β = 90.00° and γ = 90.00°. The inequivalent atoms are In at (0.000, 0.000, 0.000), Ag at (0.000, 0.000, 0.678) and Rh at (0.000, 0.000, 0.350).

The energy relative to the elements comes out at -0.079 eV/atom. The calculation puts the total energy at -4.39 eV/atom. The density of states at the Fermi level is 2.181 states/eV per cell. The value obtained for the energy above the lowest structure with this stoichiometry is 0.000 eV/f.u.



A plane-wave DFT calculation with PBE was carried out for an optimized crystal structure of InAgRh.

It has space group F-43m (No. 216), with a = 6.285 Å, b = 6.285 Å, c = 6.285 Å, α = 90.00°, β = 90.00° and γ = 90.00°. The inequivalent atoms are In at (0.000, 0.000, 0.000), Ag at (0.000, 0.000, 0.500) and Rh at (0.250, 0.250, 0.250).

The energy relative to the elements comes out at 0.046 eV/atom. The calculation puts the total energy at -4.27 eV/atom. The density of states at the Fermi level is 5.159 states/eV per cell. The value obtained for the energy above the lowest structure with this stoichiometry is 0.375 eV/f.u.



A plane-wave DFT calculation with PBE was carried out for an optimized crystal structure of InAg2Rh.

It has space group I4/mmm (No. 139), with a = 3.994 Å, b = 3.994 Å, c = 8.804 Å, α = 90.00°, β = 90.00° and γ = 90.00°. The inequivalent atoms are In at (0.000, 0.000, 0.000), Ag at (0.000, 0.500, 0.250) and Rh at (0.000, 0.000, 0.500).

The energy relative to the elements comes out at -0.031 eV/atom. The calculation puts the total energy at -3.98 eV/atom. The density of states at the Fermi level is 3.038 states/eV per cell.



A plane-wave DFT calculation with PBE was carried out for an optimized crystal structure of Sc4InAgRh2.

It has space group R-3m (No. 166, hexagonal axes), with a = 4.7512 Å, b = 4.7512 Å, c = 23.3353 Å, α = 90.00°, β = 90.00° and γ = 120.00°. The inequivalent atoms are Sc at (0.0000, 0.0000, 0.1216), Sc at (0.0000, 0.0000, 0.3722), In at (0.0000, 0.0000, 0.5000), Ag at (0.0000, 0.0000, 0.0000) and Rh at (0.0000, 0.0000, 0.2490).

The energy relative to the elements comes out at -0.616 eV/atom. The calculation puts the total energy at -6.32 eV/atom. The density of states at the Fermi level is 16.843 states/eV per cell.



A plane-wave DFT calculation with PBE was carried out for an optimized crystal structure of Sm4InAg2Rh.

It has space group R-3m (No. 166, hexagonal axes), with a = 5.2310 Å, b = 5.2310 Å, c = 25.3423 Å, α = 90.00°, β = 90.00° and γ = 120.00°. The inequivalent atoms are Sm at (0.0000, 0.0000, 0.1141), Sm at (0.0000, 0.0000, 0.3677), In at (0.0000, 0.0000, 0.5000), Ag at (0.0000, 0.0000, 0.2395) and Rh at (0.0000, 0.0000, 0.0000).

The energy relative to the elements comes out at -0.470 eV/atom. The calculation puts the total energy at -4.80 eV/atom. The density of states at the Fermi level is 12.296 states/eV per cell.



A plane-wave DFT calculation with PBE was carried out for an optimized crystal structure of InAgSnRh.

It has space group F-43m (No. 216), with a = 6.713 Å, b = 6.713 Å, c = 6.713 Å, α = 90.00°, β = 90.00° and γ = 90.00°. The inequivalent atoms are In at (0.000, 0.000, 0.000), Ag at (0.250, 0.250, 0.250), Sn at (0.000, 0.000, 0.500) and Rh at (0.250, 0.250, 0.750).

The energy relative to the elements comes out at -0.078 eV/atom. The calculation puts the total energy at -4.31 eV/atom. The density of states at the Fermi level is 9.244 states/eV per cell.



A plane-wave DFT calculation with PBE was carried out for an optimized crystal structure of Sr2In6AgRh.

It has space group Fm-3m (No. 225), with a = 10.551 Å, b = 10.551 Å, c = 10.551 Å, α = 90.00°, β = 90.00° and γ = 90.00°. The inequivalent atoms are Sr at (0.250, 0.250, 0.250), In at (0.000, 0.000, 0.246), Ag at (0.000, 0.000, 0.500) and Rh at (0.000, 0.000, 0.000).

The energy relative to the elements comes out at -0.153 eV/atom. The calculation puts the total energy at -3.15 eV/atom. The density of states at the Fermi level is 23.388 states/eV per cell.



A plane-wave DFT calculation with PBE was carried out for an optimized crystal structure of Sr2InAgRh.

It has space group P4/mmm (No. 123), with a = 5.715 Å, b = 5.715 Å, c = 5.132 Å, α = 90.00°, β = 90.00° and γ = 90.00°. The inequivalent atoms are Sr at (0.000, 0.500, 0.000), In at (0.000, 0.000, 0.500), Ag at (0.500, 0.500, 0.500) and Rh at (0.000, 0.000, 0.000).

The energy relative to the elements comes out at -0.199 eV/atom. The calculation puts the total energy at -3.46 eV/atom. The density of states at the Fermi level is 2.293 states/eV per cell.



A plane-wave DFT calculation with PBE was carried out for an optimized crystal structure of SrInAg2Rh.

It has space group P4/mmm (No. 123), with a = 5.241 Å, b = 5.241 Å, c = 5.243 Å, α = 90.00°, β = 90.00° and γ = 90.00°. The inequivalent atoms are Sr at (0.000, 0.000, 0.000), In at (0.500, 0.500, 0.000), Ag at (0.000, 0.500, 0.500) and Rh at (0.000, 0.000, 0.500).

The energy relative to the elements comes out at 0.336 eV/atom. The calculation puts the total energy at -3.16 eV/atom. The density of states at the Fermi level is 3.805 states/eV per cell.



A plane-wave DFT calculation with PBE was carried out for an optimized crystal structure of Tb4InAgRh2.

It has space group R-3m (No. 166, hexagonal axes), with a = 5.0538 Å, b = 5.0538 Å, c = 24.8100 Å, α = 90.00°, β = 90.00° and γ = 120.00°. The inequivalent atoms are Tb at (0.0000, 0.0000, 0.1218), Tb at (0.0000, 0.0000, 0.3723), In at (0.0000, 0.0000, 0.5000), Ag at (0.0000, 0.0000, 0.0000) and Rh at (0.0000, 0.0000, 0.2478).

The energy relative to the elements comes out at -0.560 eV/atom. The calculation puts the total energy at -5.41 eV/atom. The density of states at the Fermi level is 15.808 states/eV per cell.



A plane-wave DFT calculation with PBE was carried out for an optimized crystal structure of TbInAgRh.

It has space group F-43m (No. 216), with a = 6.846 Å, b = 6.846 Å, c = 6.846 Å, α = 90.00°, β = 90.00° and γ = 90.00°. The inequivalent atoms are Tb at (0.000, 0.000, 0.000), In at (0.000, 0.000, 0.500), Ag at (0.250, 0.250, 0.750) and Rh at (0.250, 0.250, 0.250).

The energy relative to the elements comes out at -0.463 eV/atom. The calculation puts the total energy at -4.86 eV/atom. The density of states at the Fermi level is 12.577 states/eV per cell.



A plane-wave DFT calculation with PBE was carried out for an optimized crystal structure of InTc2AgRh.

It has space group P4/mmm (No. 123), with a = 4.712 Å, b = 4.712 Å, c = 4.998 Å, α = 90.00°, β = 90.00° and γ = 90.00°. The inequivalent atoms are In at (0.000, 0.000, 0.000), Tc at (0.000, 0.500, 0.500), Ag at (0.500, 0.500, 0.000) and Rh at (0.000, 0.000, 0.500).

The energy relative to the elements comes out at 1.354 eV/atom. The calculation puts the total energy at -5.38 eV/atom. The density of states at the Fermi level is 5.637 states/eV per cell.